1.
VASP calculation (GGA-PBE) on a relaxed HfTiGe3 crystal.

```
HfTiGe3
1.0
4.7762 0.0000 0.0000
0.0000 4.7762 0.0000
0.0000 0.0000 4.7762
Hf Ti Ge
1 1 3
Direct
0.0000 0.0000 0.0000
0.5000 0.5000 0.5000
0.0000 0.5000 0.5000
0.5000 0.0000 0.5000
0.5000 0.5000 0.0000
```

Properties
DOS(E_F) (states/eV per atom): 0.96
Symmetry: Pm-3m (221)
Raw total energy (eV/cell): -29.47

2.
VASP calculation (GGA-PBE) on a relaxed Hf4TiGe2 crystal.

```
Hf4TiGe2
1.0
2.3868 1.3780 7.5852
-2.3868 1.3780 7.5852
0.0000 -2.7560 7.5852
Hf Ti Ge
4 1 2
Direct
0.1312 0.1312 0.1312
0.2677 0.2677 0.2677
0.7323 0.7323 0.7323
0.8688 0.8688 0.8688
0.5000 0.5000 0.5000
0.3877 0.3877 0.3877
0.6123 0.6123 0.6123
```

Properties
DOS(E_F) (states/eV per atom): 0.79
Symmetry: R-3m (166)
Raw total energy (eV/cell): -57.91

3.
VASP calculation (GGA-PBE) on a relaxed Hf2TiGe4 crystal.

```
Hf2TiGe4
1.0
4.7959 0.0000 0.0000
0.0000 4.7959 0.0000
0.0000 0.0000 13.3144
Hf Ti Ge
4 2 8
Direct
0.0000 0.0000 0.1090
0.0000 0.0000 0.8910
0.5000 0.5000 0.3910
0.5000 0.5000 0.6090
0.0000 0.0000 0.5000
0.5000 0.5000 0.0000
0.0000 0.0000 0.3090
0.0000 0.0000 0.6910
0.0000 0.5000 0.0000
0.0000 0.5000 0.5000
0.5000 0.0000 0.0000
0.5000 0.0000 0.5000
0.5000 0.5000 0.1910
0.5000 0.5000 0.8090
```

Properties
DOS(E_F) (states/eV per atom): 0.28
Symmetry: I4/mmm (139)
Raw total energy (eV/cell): -92.15

4.
VASP calculation (GGA-PBE) on a relaxed HfTi4Ge2 crystal.

```
HfTi4Ge2
1.0
3.8616 0.0000 0.0000
0.0000 16.3194 0.0000
0.0000 0.0000 3.8760
Hf Ti Ge
2 8 4
Direct
0.0000 0.0000 0.0000
0.5000 0.5000 0.0000
0.0000 0.1833 0.5000
0.0000 0.3170 0.0000
0.0000 0.6830 0.0000
0.0000 0.8167 0.5000
0.5000 0.1830 0.0000
0.5000 0.3167 0.5000
0.5000 0.6833 0.5000
0.5000 0.8170 0.0000
0.0000 0.4265 0.5000
0.0000 0.5735 0.5000
0.5000 0.0735 0.5000
0.5000 0.9265 0.5000
```

Properties
DOS(E_F) (states/eV per atom): 0.82
Symmetry: Cmmm (65)
Raw total energy (eV/cell): -106.38

no.,DFT formation energy (meV/atom)
1,447
2,-138
3,28
4,-346